VASP calculation (PBE with a Hubbard U) on a relaxed RbVH4O2F4 crystal.

a b c (Å): 6.4737 6.8291 8.3653
angles (deg): 74.67 67.24 61.71
Closest atoms and distances in Å follow each position.
Atoms (fractional coordinates):
Rb  0.7784  0.7500  0.2500  4 F 2.87-3.08, 2 O 3.11
Rb  0.2216  0.2500  0.7500  4 F 2.87-3.08, 2 O 3.11
V  0.5000  0.5000  0.0000  4 F 1.95-1.96, 2 O 2.11
V  0.0000  0.0000  0.5000  4 F 1.95-1.96, 2 O 2.11
H  0.3407  0.5528  0.3424  1 O 1.00
H  0.2359  0.9472  0.1576  1 O 1.00
H  0.6593  0.4472  0.6576  1 O 1.00
H  0.7641  0.0528  0.8424  1 O 1.00
H  0.5925  0.3248  0.3116  1 O 1.00
H  0.2289  0.1752  0.1884  1 O 1.00
H  0.4075  0.6752  0.6884  1 O 1.00
H  0.7711  0.8248  0.8116  1 O 1.00
O  0.5047  0.4764  0.2553  2 H 1.00
O  0.2365  0.0236  0.2447  2 H 1.00
O  0.4953  0.5236  0.7447  2 H 1.00
O  0.7635  0.9764  0.7553  2 H 1.00
F  0.2546  0.8090  0.0236  1 H 1.58
F  0.0873  0.6910  0.4764  1 H 1.58
F  0.7454  0.1910  0.9764  1 H 1.58
F  0.9127  0.3090  0.5236  1 H 1.58
F  0.7185  0.0986  0.4168  1 H 1.57
F  0.2338  0.4014  0.0832  1 H 1.57
F  0.2815  0.9014  0.5832  1 H 1.57
F  0.7662  0.5986  0.9168  1 H 1.57

Properties
DFT total energy in eV per cell: -126.7
N(E_F) in states/eV per cell: 0.00
Space group: C2/c